No. 1
## Mg2ScCu (GGA-PBEsol)

Data for a geometry-optimized Mg2ScCu structure.

Cell lengths 3.114, 4.824, 10.097 Å; angles 90.00, 90.00, 90.00 degrees
Space group Immm (No. 71)
One atom of each set of equivalent atoms:
Mg  0.000  0.000  0.212 [4 per cell]
Sc  0.000  0.500  0.000 [2 per cell]
Cu  0.000  0.500  0.500 [2 per cell]

ΔE_f ... -0.0372 eV/atom
Spin magnetization ... 0.000 μB per cell
ρ ... 3.44 g/cm3
VASP energy ... -14.52 eV per formula unit


No. 2
## Si3BiI (GGA-PBEsol)

Data for a geometry-optimized Si3BiI structure.

Cell lengths 5.204, 5.204, 5.204 Å; angles 90.00, 90.00, 90.00 degrees
Space group Pm-3m (No. 221)
One atom of each set of equivalent atoms:
Si  0.000  0.000  0.500 [3 per cell]
Bi  0.500  0.500  0.500 [1 per cell]
I  0.000  0.000  0.000 [1 per cell]

Spin magnetization ... 0.000 μB per cell
Uncorrected formation energy ... 1.402 eV/atom
ρ ... 4.95 g/cm3
VASP energy ... -16.28 eV per formula unit